Record 1
Below is a relaxed K11Rb9Na4 crystal, with properties calculated at the GGA-PBE level.

- density (Mg/m³) = 1.2
- VASP energy (eV/cell) = -25.66
- SG = No. 65

abc: 19.4481 19.4481 4.9919
angles: 90.00 90.00 112.74
Last column: nearest neighbours and their distance in Å.
Fractional coordinates of all 24 atoms:
K 0.0000 0.0000 0.0000  8 Rb 4.72, 4 K 4.89-4.99
K 0.0770 0.4211 0.0000  2 Na 4.12, 4 Rb 4.58-4.59
K 0.1511 0.8489 0.0000  8 Rb 4.77-4.82, 3 K 4.89-4.99
K 0.3095 0.3095 0.0000  4 Na 4.20
K 0.3671 0.6329 0.0000  4 Na 4.14
K 0.4211 0.0770 0.0000  2 Na 4.12, 4 Rb 4.58-4.59
K 0.5789 0.9230 0.0000  2 Na 4.12, 4 Rb 4.58-4.59
K 0.6329 0.3671 0.0000  4 Na 4.14
K 0.6905 0.6905 0.0000  4 Na 4.20
K 0.8489 0.1511 0.0000  8 Rb 4.77-4.82, 3 K 4.89-4.99
K 0.9230 0.5789 0.0000  2 Na 4.12, 4 Rb 4.58-4.59
Rb 0.0746 0.2229 0.5000  1 Na 4.52, 8 K 4.58-4.90, 3 Rb 4.80-4.99
Rb 0.1471 0.6352 0.5000  8 K 4.59-4.97, 3 Rb 4.69-4.99, 1 Na 4.74
Rb 0.2229 0.0746 0.5000  1 Na 4.52, 8 K 4.58-4.90, 3 Rb 4.80-4.99
Rb 0.3648 0.8529 0.5000  8 K 4.59-4.97, 3 Rb 4.69-4.99, 1 Na 4.74
Rb 0.5000 0.5000 0.5000  4 Na 4.49, 8 K 4.80-4.97, 2 Rb 4.99
Rb 0.6352 0.1471 0.5000  8 K 4.59-4.97, 3 Rb 4.69-4.99, 1 Na 4.74
Rb 0.7771 0.9254 0.5000  1 Na 4.52, 8 K 4.58-4.90, 3 Rb 4.80-4.99
Rb 0.8529 0.3648 0.5000  8 K 4.59-4.97, 3 Rb 4.69-4.99, 1 Na 4.74
Rb 0.9254 0.7771 0.5000  1 Na 4.52, 8 K 4.58-4.90, 3 Rb 4.80-4.99
Na 0.2554 0.4547 0.5000  6 K 4.12-4.20, 2 Rb 4.49-4.52
Na 0.4547 0.2554 0.5000  6 K 4.12-4.20, 2 Rb 4.49-4.52
Na 0.5453 0.7446 0.5000  6 K 4.12-4.20, 2 Rb 4.49-4.52
Na 0.7446 0.5453 0.5000  6 K 4.12-4.20, 2 Rb 4.49-4.52

=====

Record 2
Below is a relaxed KRb7Na5 crystal, with properties calculated at the GGA-PBE level.

- density (Mg/m³) = 1.4
- VASP energy (eV/cell) = -14.02
- SG = No. 44

abc: 11.1503 11.1503 11.1503
angles: 137.40 99.99 95.19
Last column: nearest neighbours and their distance in Å.
Fractional coordinates of all 13 atoms:
K 0.0000 0.0000 0.0000  6 Na 4.16-4.47, 1 Rb 4.60
Rb 0.2900 0.6285 0.6615  5 Na 4.33-4.61, 3 Rb 4.57-4.63
Rb 0.3157 0.3157 0.0000  2 Rb 4.32, 4 Na 4.57, 1 K 4.75
Rb 0.4149 0.9149 0.5000  4 Rb 4.32-4.44, 4 Na 4.39
Rb 0.4550 0.1469 0.3082  5 Na 4.19-4.54, 3 Rb 4.44-4.57
Rb 0.6942 0.6942 0.0000  1 K 4.60, 6 Na 4.75-4.87, 6 Rb 4.95
Rb 0.8387 0.1469 0.6918  5 Na 4.19-4.54, 3 Rb 4.44-4.57
Rb 0.9670 0.6285 0.3385  5 Na 4.33-4.61, 3 Rb 4.57-4.63
Na 0.1118 0.1246 0.4664  3 Na 3.88-4.22, 1 K 4.16, 2 Rb 4.19-4.33
Na 0.1118 0.6454 0.9872  3 Na 3.88-4.22, 1 K 4.16, 2 Rb 4.19-4.33
Na 0.6582 0.1246 0.0128  3 Na 3.88-4.22, 1 K 4.16, 2 Rb 4.19-4.33
Na 0.6582 0.6454 0.5336  3 Na 3.88-4.22, 1 K 4.16, 2 Rb 4.19-4.33
Na 0.8735 0.3735 0.5000  4 Na 3.88

=====

The formation energy results, record by record, are as follows: 0.4 0.4 eV/f.u..